[1]
Compound: SrAg2W
Source: Alexandria via LeMat-Bulk
Functional: PBE
Structure: optimized geometry

Values from the calculation:
* calculated formation energy: 0.743 eV/atom
* Fermi-level density of states: 3.6 states/eV/f.u.
* spin magnetization: 2.277 Bohr magnetons per cell
* polymorph energy (0 for the lowest one): 0.38 eV per formula unit

Cell lengths 6.6481, 8.4105, 2.9506 Å; angles 90.00, 90.00, 90.00 degrees
With the nearest neighbours (Å) after each atom.
Space group Cmmm (No. 65)
Symmetry-distinct sites (fractional):
Sr1 0.0000 0.0000 0.0000  2 Sr 2.95, 8 Ag 3.06
Ag1 0.2500 0.2500 0.5000  2 Ag 2.95, 4 W 3.06, 4 Sr 3.06
W1 0.0000 0.5000 0.0000  2 W 2.95, 8 Ag 3.06

[2]
Compound: SrAgW
Source: Alexandria via LeMat-Bulk
Functional: PBE
Structure: optimized geometry

Values from the calculation:
* calculated formation energy: 1.071 eV/atom
* Fermi-level density of states: 3.6 states/eV/f.u.
* spin magnetization: 0.000 Bohr magnetons per cell
* polymorph energy (0 for the lowest one): 0.55 eV per formula unit

Cell lengths 3.0512, 3.0512, 7.9363 Å; angles 90.00, 90.00, 120.00 degrees
With the nearest neighbours (Å) after each atom.
Space group P3m1 (No. 156)
Symmetry-distinct sites (fractional):
Sr1 0.0000 0.0000 0.0000  6 Sr 3.05, 3 W 3.23, 3 Ag 3.37
Ag1 0.6667 0.3333 0.6382  3 W 2.94, 6 Ag 3.05
W1 0.3333 0.6667 0.3418  3 Ag 2.94, 6 W 3.05, 3 Sr 3.23

[3]
Compound: Sr2AgW
Source: Alexandria via LeMat-Bulk
Functional: PBE
Structure: optimized geometry

Values from the calculation:
* calculated formation energy: 0.826 eV/atom
* Fermi-level density of states: 4.6 states/eV/f.u.
* spin magnetization: 0.000 Bohr magnetons per cell
* polymorph energy (0 for the lowest one): 0.22 eV per formula unit

Cell lengths 3.4968, 3.4968, 9.4989 Å; angles 90.00, 90.00, 90.00 degrees
With the nearest neighbours (Å) after each atom.
Space group P4mm (No. 99)
Symmetry-distinct sites (fractional):
Sr1 0.0000 0.0000 0.0000  4 Ag 3.33, 4 Sr 3.50, 1 W 3.53
Sr2 0.5000 0.5000 0.3888  4 W 3.36, 4 Sr 3.50, 1 Ag 3.58
Ag1 0.5000 0.5000 0.7652  4 W 2.79
W1 0.0000 0.0000 0.6288  4 Ag 2.79